DFT (PBE) results for Dy3ErMg7 after structural relaxation.

a b c (Å): 3.2930 11.3592 16.3029
angles (deg): 90.00 90.00 98.33
Last column: nearest neighbours and their distance in Å.
Sites, in units of the cell vectors:
Mg 0.4933 0.9866 0.0844  2 Mg 2.77-2.91
Mg 0.6248 0.2496 0.6576  3 Mg 2.87-3.01
Mg 0.5067 0.0134 0.5844  2 Mg 2.77-2.91
Dy 0.8822 0.7644 0.5338  2 Dy 3.29, 9 Mg 3.32-3.62
Er 0.9854 0.9708 0.2500  10 Mg 3.17-3.33, 2 Er 3.29
Mg 0.4933 0.9866 0.4156  2 Mg 2.77-2.91
Mg 0.3752 0.7504 0.3424  3 Mg 2.87-3.01
Dy 0.1178 0.2356 0.4662  2 Dy 3.29, 9 Mg 3.32-3.62
Dy 0.7615 0.5230 0.2500  2 Dy 3.29, 9 Mg 3.30-3.39
Mg 0.6143 0.2287 0.2500  2 Mg 3.29, 1 Dy 3.31, 2 Er 3.33
Mg 0.3857 0.7713 0.7500  2 Mg 3.29, 1 Dy 3.31, 2 Er 3.33
Mg 0.6248 0.2496 0.8424  3 Mg 2.87-3.01
Mg 0.3752 0.7504 0.1576  3 Mg 2.87-3.01
Dy 0.1178 0.2356 0.0338  2 Dy 3.29, 9 Mg 3.32-3.62
Mg 0.7377 0.4754 0.9252  3 Mg 2.87-2.99
Er 0.0146 0.0292 0.7500  10 Mg 3.17-3.33, 2 Er 3.29
Dy 0.2385 0.4770 0.7500  2 Dy 3.29, 9 Mg 3.30-3.39
Mg 0.2623 0.5246 0.4252  3 Mg 2.87-2.99
Dy 0.8822 0.7644 0.9662  2 Dy 3.29, 9 Mg 3.32-3.62
Mg 0.2623 0.5246 0.0748  3 Mg 2.87-2.99
Mg 0.5067 0.0134 0.9156  2 Mg 2.77-2.91
Mg 0.7377 0.4754 0.5748  3 Mg 2.87-2.99

Computed properties:
The value obtained for the final energy is -2.60 eV/atom. The magnetic moment comes out at 0.0 μB per formula unit. The energy of formation is 90 meV/atom. As for the energy above the most stable polymorph in this dataset: 0 meV/atom.


DFT (PBE) results for Na5B7C3 after structural relaxation.

a b c (Å): 7.6926 7.6926 10.3532
angles (deg): 122.06 122.06 37.86
Last column: nearest neighbours and their distance in Å.
Sites, in units of the cell vectors:
Na 0.8026 0.8015 0.0053  4 C 2.67-2.77, 8 B 2.68-2.77, 6 Na 2.88-2.92
B 0.7878 0.4300 0.7499  1 C 1.57, 2 B 1.73-1.74
B 0.4428 0.7696 0.2506  2 C 1.63-1.65, 1 B 1.76
Na 0.9975 0.9991 0.4963  3 C 2.69-2.75, 9 B 2.69-2.79, 6 Na 2.87-2.91
Na 0.1985 0.1974 0.4947  4 C 2.67-2.77, 8 B 2.68-2.77, 6 Na 2.88-2.92
C 0.9685 0.6252 0.2494  3 B 1.63-1.68
B 0.1669 0.8331 0.7500  3 B 1.68-1.75
Na 0.0009 0.0025 0.0037  3 C 2.69-2.75, 9 B 2.69-2.79, 6 Na 2.87-2.91
Na 0.4037 0.4003 0.0054  8 B 2.62-2.77, 4 C 2.69-2.76, 6 Na 2.88-2.91
Na 0.7980 0.8008 0.4989  8 B 2.66-2.77, 4 C 2.68-2.73, 6 Na 2.88-2.91
B 0.4315 0.7699 0.7502  3 B 1.68-1.75
C 0.6374 0.9587 0.7501  3 B 1.57-1.61
C 0.5652 0.2314 0.2493  3 B 1.65-1.66
B 0.8159 0.1841 0.7500  3 B 1.73-1.75
Na 0.1992 0.2020 0.0011  8 B 2.66-2.77, 4 C 2.68-2.73, 6 Na 2.88-2.91
C 0.0413 0.3626 0.7499  3 B 1.57-1.61
B 0.1676 0.8324 0.2500  3 B 1.75-1.76
B 0.5700 0.2122 0.7501  1 C 1.57, 2 B 1.73-1.74
B 0.2304 0.5572 0.2494  2 C 1.63-1.65, 1 B 1.76
Na 0.5997 0.5963 0.4946  8 B 2.62-2.77, 4 C 2.69-2.76, 6 Na 2.88-2.91
C 0.3748 0.0315 0.2506  3 B 1.63-1.68
B 0.9552 0.6327 0.7500  2 C 1.61, 1 B 1.75
Na 0.5969 0.6037 0.0016  9 B 2.65-2.83, 3 C 2.68-2.70, 6 Na 2.87-2.92
B 0.3673 0.0448 0.7500  2 C 1.61, 1 B 1.75
B 0.2301 0.5685 0.7498  3 B 1.68-1.75
B 0.6343 0.9656 0.2498  3 C 1.63-1.68
C 0.7686 0.4348 0.2507  3 B 1.65-1.66
B 0.8167 0.1833 0.2500  2 C 1.66, 1 B 1.75
Na 0.3963 0.4031 0.4984  9 B 2.65-2.83, 3 C 2.68-2.70, 6 Na 2.87-2.92
B 0.0344 0.3657 0.2502  3 C 1.63-1.68

Computed properties:
The value obtained for the final energy is -5.25 eV/atom. The magnetic moment comes out at 0.0 μB per formula unit. The energy of formation is 146 meV/atom. As for the energy above the most stable polymorph in this dataset: 33 meV/atom.


DFT (PBE) results for Na3HfRh2Se6 after structural relaxation.

a b c (Å): 6.5940 6.5940 7.2802
angles (deg): 98.65 98.65 120.02
Last column: nearest neighbours and their distance in Å.
Sites, in units of the cell vectors:
Se 0.2801 0.2801 0.7964  2 Rh 2.58, 1 Hf 2.69
Se 0.0685 0.4152 0.2039  2 Rh 2.57-2.58, 1 Hf 2.69
Na 0.8359 0.1641 0.5000  6 Se 2.96-3.04
Se 0.5848 0.9315 0.7961  2 Rh 2.57-2.58, 1 Hf 2.69
Se 0.4152 0.0685 0.2039  2 Rh 2.57-2.58, 1 Hf 2.69
Rh 0.6673 0.3327 0.0000  6 Se 2.57-2.58
Rh 0.3327 0.6673 0.0000  6 Se 2.57-2.58
Hf 0.0000 0.0000 0.0000  6 Se 2.69
Se 0.9315 0.5848 0.7961  2 Rh 2.57-2.58, 1 Hf 2.69
Se 0.7199 0.7199 0.2036  2 Rh 2.58, 1 Hf 2.69
Na 0.1641 0.8359 0.5000  6 Se 2.96-3.04
Na 0.5000 0.5000 0.5000  6 Se 2.94-3.04

Computed properties:
The value obtained for the final energy is -4.99 eV/atom. The magnetic moment comes out at 0.0 μB per formula unit. The raw formation energy is -859 meV per atom.


DFT (PBE) results for Cs6SCl after structural relaxation.

a b c (Å): 9.4366 9.4366 8.7576
angles (deg): 98.44 98.44 124.68
Last column: nearest neighbours and their distance in Å.
Sites, in units of the cell vectors:
Cs 0.1229 0.4022 0.2575  1 S 3.39, 1 Cl 3.54
S 0.5000 0.5000 0.5000  6 Cs 3.39-3.41
Cs 0.8771 0.5978 0.7425  1 S 3.39, 1 Cl 3.54
Cs 0.5978 0.8771 0.7425  1 S 3.39, 1 Cl 3.54
Cs 0.2578 0.2578 0.7374  1 S 3.41, 1 Cl 3.70
Cs 0.7422 0.7422 0.2626  1 S 3.41, 1 Cl 3.70
Cl 0.0000 0.0000 0.0000  6 Cs 3.54-3.70
Cs 0.4022 0.1229 0.2575  1 S 3.39, 1 Cl 3.54

Computed properties:
The value obtained for the final energy is -2.22 eV/atom. The magnetic moment comes out at 0.0 μB per formula unit. The raw formation energy is -835 meV per atom.


DFT (PBE) results for Pr4NO2 after structural relaxation.

a b c (Å): 3.6334 6.3620 7.0491
angles (deg): 116.06 104.93 90.00
Last column: nearest neighbours and their distance in Å.
Sites, in units of the cell vectors:
Pr 0.6241 0.2797 0.2482  3 O 2.56-2.57, 2 N 2.57
N 0.0000 0.0000 0.0000  6 Pr 2.57-2.58
Pr 0.8666 0.1857 0.7331  1 N 2.58, 3 O 2.58-2.61
Pr 0.3759 0.7203 0.7518  3 O 2.56-2.57, 2 N 2.57
O 0.7452 0.7289 0.4905  6 Pr 2.56-2.61
Pr 0.1334 0.8143 0.2669  1 N 2.58, 3 O 2.58-2.61
O 0.2548 0.2711 0.5095  6 Pr 2.56-2.61

Computed properties:
The value obtained for the final energy is -7.19 eV/atom. The magnetic moment comes out at 0.0 μB per formula unit. The raw formation energy is -1849 meV per atom.


DFT (PBE) results for Ba3Na2Li3 after structural relaxation.

a b c (Å): 5.9500 7.2272 17.0804
angles (deg): 90.00 90.00 114.31
Last column: nearest neighbours and their distance in Å.
Sites, in units of the cell vectors:
Ba 0.4704 0.9408 0.2500  7 Li 3.90-4.08, 6 Na 4.10-4.36
Na 0.1824 0.3648 0.1596  1 Na 3.09, 1 Li 3.39
Li 0.9425 0.8850 0.4117  2 Li 3.38-3.50, 1 Na 3.39, 2 Ba 3.77
Li 0.9425 0.8850 0.0883  2 Li 3.38-3.50, 1 Na 3.39, 2 Ba 3.77
Li 0.2211 0.4422 0.7500  2 Li 3.50, 4 Na 3.58, 2 Ba 3.90
Na 0.1824 0.3648 0.3404  1 Na 3.09, 1 Li 3.39
Ba 0.6490 0.2981 0.0277  3 Na 3.76-3.89, 6 Li 3.77-4.16, 3 Ba 4.04-4.10
Li 0.7789 0.5578 0.2500  2 Li 3.50, 4 Na 3.58, 2 Ba 3.90
Ba 0.3510 0.7019 0.5277  3 Na 3.76-3.89, 6 Li 3.77-4.16, 3 Ba 4.04-4.10
Li 0.0575 0.1150 0.5883  2 Li 3.38-3.50, 1 Na 3.39, 2 Ba 3.77
Na 0.8176 0.6352 0.8404  1 Na 3.09, 1 Li 3.39
Ba 0.5296 0.0592 0.7500  7 Li 3.90-4.08, 6 Na 4.10-4.36
Ba 0.3510 0.7019 0.9723  3 Na 3.76-3.89, 6 Li 3.77-4.16, 3 Ba 4.04-4.10
Li 0.0575 0.1150 0.9117  2 Li 3.38-3.50, 1 Na 3.39, 2 Ba 3.77
Ba 0.6490 0.2981 0.4723  3 Na 3.76-3.89, 6 Li 3.77-4.16, 3 Ba 4.04-4.10
Na 0.8176 0.6352 0.6596  1 Na 3.09, 1 Li 3.39

Computed properties:
The value obtained for the final energy is -1.69 eV/atom. The magnetic moment comes out at 0.0 μB per formula unit. The energy of formation is 82 meV/atom.